Ba2LiSi: single point on PBEsol structure, SCAN.

Values from the calculation:
electronic total energy = -365.21 eV for the cell shown
energy relative to the elements, uncorrected = 0.0511 eV/atom

Cell lengths 7.7190, 7.7190, 7.7190 Å; angles 90.00, 90.00, 90.00 degrees
Last column: nearest neighbours and their distance in Å.
Space group F-43m (No. 216)
One atom of each set of equivalent atoms:
Ba  0.0000  0.0000  0.0000 (multiplicity 4)  4 Li 3.34, 4 Ba 3.34
Ba  0.2500  0.2500  0.2500 (multiplicity 4)  4 Ba 3.34, 4 Si 3.34
Li  0.2500  0.2500  0.7500 (multiplicity 4)  4 Ba 3.34, 4 Si 3.34
Si  0.0000  0.0000  0.5000 (multiplicity 4)  4 Ba 3.34, 4 Li 3.34

***

ScTa2Mo: single point on PBEsol structure, SCAN.

Values from the calculation:
excess energy over the best structure of this formula in the dataset = 37.8 meV per atom
electronic total energy = -181.80 eV for the cell shown
energy of formation = 0.12 eV/atom

Cell lengths 3.2370, 3.2370, 6.8797 Å; angles 90.00, 90.00, 90.00 degrees
Last column: nearest neighbours and their distance in Å.
Space group P4mm (No. 99)
One atom of each set of equivalent atoms:
Sc  0.0000  0.0000  0.0000 (multiplicity 1)  4 Mo 2.92, 5 Ta 3.05-3.24, 4 Sc 3.24
Ta  0.0000  0.0000  0.5294 (multiplicity 1)  4 Mo 2.70, 4 Ta 2.81
Ta  0.5000  0.5000  0.2922 (multiplicity 1)  4 Ta 2.81, 4 Sc 3.05, 1 Mo 3.06
Mo  0.5000  0.5000  0.7376 (multiplicity 1)  4 Ta 2.70, 4 Sc 2.92

***

NaBe2Tc: single point on PBEsol structure, SCAN.

Values from the calculation:
electronic total energy = -177.76 eV for the cell shown
energy of formation = 0.89 eV/atom

Cell lengths 6.3816, 6.3816, 5.4006 Å; angles 90.00, 90.00, 90.00 degrees
Last column: nearest neighbours and their distance in Å.
Space group I-42d (No. 122)
One atom of each set of equivalent atoms:
Na  0.0000  0.0000  0.0000 (multiplicity 4)  4 Be 2.48, 2 Tc 2.70
Be  0.2225  0.2500  0.6250 (multiplicity 8)  2 Tc 2.24, 2 Na 2.48
Tc  0.0000  0.0000  0.5000 (multiplicity 4)  4 Be 2.24

***

LaP2Ir: single point on PBEsol structure, SCAN.

Values from the calculation:
electronic total energy = -275.53 eV for the cell shown
energy of formation = -0.69 eV/atom

Cell lengths 3.4695, 3.5684, 12.1000 Å; angles 90.00, 90.00, 90.00 degrees
Last column: nearest neighbours and their distance in Å.
Space group Imm2 (No. 44)
One atom of each set of equivalent atoms:
La  0.0000  0.0000  0.0000 (multiplicity 2)  6 P 2.89-2.92
P  0.0000  0.0000  0.6213 (multiplicity 2)  2 Ir 2.31
P  0.0000  0.5000  0.8087 (multiplicity 2)  4 Ir 2.59, 2 P 2.89
Ir  0.0000  0.5000  0.2480 (multiplicity 2)  2 P 2.31

***

KMgMo2: single point on PBEsol structure, SCAN.

Values from the calculation:
electronic total energy = -158.76 eV for the cell shown
energy of formation = 0.92 eV/atom

Cell lengths 3.1612, 4.3558, 10.9700 Å; angles 90.00, 90.00, 90.00 degrees
Last column: nearest neighbours and their distance in Å.
Space group Cmmm (No. 65)
One atom of each set of equivalent atoms:
K  0.0000  0.0000  0.0000 (multiplicity 2)  4 K 2.69
Mg  0.0000  0.0000  0.5000 (multiplicity 2)  4 Mg 2.69, 4 Mo 2.86
Mo  0.0000  0.5000  0.2823 (multiplicity 4)  4 Mo 2.69, 2 Mg 2.86

***

LaBPt4: single point on PBEsol structure, SCAN.

Values from the calculation:
electronic total energy = -673.92 eV for the cell shown
energy of formation = -0.94 eV/atom

Cell lengths 5.4446, 5.4446, 7.6414 Å; angles 90.00, 90.00, 120.00 degrees
Last column: nearest neighbours and their distance in Å.
Space group P6/mmm (No. 191)
One atom of each set of equivalent atoms:
La  0.0000  0.0000  0.0000 (multiplicity 1)  12 Pt 3.13, 6 B 3.14
La  0.0000  0.0000  0.5000 (multiplicity 1)  6 Pt 3.14
B  0.3333  0.6667  0.0000 (multiplicity 2)  6 Pt 2.20
Pt  0.0000  0.5000  0.2015 (multiplicity 6)  2 B 2.20
Pt  0.3333  0.6667  0.5000 (multiplicity 2)  6 Pt 2.77

***

CaNiCl2: single point on PBEsol structure, SCAN.

Values from the calculation:
excess energy over the best structure of this formula in the dataset = 138.4 meV per atom
electronic total energy = -91.10 eV for the cell shown
energy relative to the elements, uncorrected = -0.9391 eV/atom

Cell lengths 6.5342, 7.2522, 4.8224 Å; angles 90.00, 131.57, 90.00 degrees
Last column: nearest neighbours and their distance in Å.
Space group C2/m (No. 12)
One atom of each set of equivalent atoms:
Ca  0.0000  0.0000  0.0000 (multiplicity 2)  4 Cl 2.56
Ni  0.0000  0.5000  0.0000 (multiplicity 2)  4 Cl 2.56
Cl  0.2500  0.2500  0.5000 (multiplicity 4)  2 Ni 2.56, 2 Ca 2.56

***

Co8Ru: single point on PBEsol structure, SCAN.

Values from the calculation:
electronic total energy = -345.05 eV for the cell shown
energy of formation = 0.08 eV/atom

Cell lengths 7.4240, 7.4240, 3.4919 Å; angles 90.00, 90.00, 90.00 degrees
Last column: nearest neighbours and their distance in Å.
Space group I4/mmm (No. 139)
One atom of each set of equivalent atoms:
Co  0.0000  0.3371  0.0000 (multiplicity 8)  11 Co 2.42-2.49, 1 Ru 2.50
Co  0.1704  0.1704  0.5000 (multiplicity 8)  10 Co 2.42-2.53, 2 Ru 2.50
Ru  0.0000  0.0000  0.0000 (multiplicity 2)  12 Co 2.50